1.
A relaxed structure of Fe2HOs, computed with GGA-PBE.

a b c (Å): 5.7461 5.7461 4.6948
angles (deg): 90.00 90.00 90.00
Space group I-42d (No. 122)
Symmetry-distinct sites (fractional):
Fe 0.1453 0.2500 0.1250 (multiplicity 8)
H 0.0000 0.0000 0.0000 (multiplicity 4)
Os 0.0000 0.0000 0.5000 (multiplicity 4)

Computed properties:
crystal system: tetragonal
excess energy over the best structure of this formula in the dataset: 304 meV/atom

2.
A relaxed structure of KZnSb2Au, computed with GGA-PBE.

a b c (Å): 4.9678 4.9678 11.2014
angles (deg): 90.00 90.00 90.00
Space group I-4m2 (No. 119)
Symmetry-distinct sites (fractional):
K 0.0000 0.0000 0.0000 (multiplicity 2)
Zn 0.0000 0.5000 0.2500 (multiplicity 2)
Sb 0.0000 0.0000 0.3687 (multiplicity 4)
Au 0.0000 0.5000 0.7500 (multiplicity 2)

Computed properties:
crystal system: tetragonal
final energy: -30.126 eV per cell